Computed, not measured: CaBeGe2Pd after structural relaxation at the PBE-GGA level of DFT.

The structure in extended XYZ format:
```
5
Lattice="-2.9059 1.0780 2.6682 -2.8535 -0.5878 -2.8702 2.3962 -5.3012 1.6171" Properties=species:S:1:pos:R:3 pbc="T T T"
Be -1.6947 -1.9891 2.0922
Pd -1.6685 -2.8220 -0.6770
Ge -0.3685 -3.8539 1.1556
Ge -2.9946 -0.9572 0.2595
Ca 0.0000 0.0000 0.0000
```

Results
- Calculated formation energy: -0.47 eV/atom
- Mass density: 5.6 g/cm3
- E: -22.5 eV/cell

Computed, not measured: Na2LaYI after structural relaxation at the PBE-GGA level of DFT.

The structure in extended XYZ format:
```
5
Lattice="-1.2499 -4.4596 -3.3692 3.4087 -3.2719 3.0662 -4.3848 -1.3585 3.4249" Properties=species:S:1:pos:R:3 pbc="T T T"
Na -2.1924 -0.6793 1.7124
Na -0.6250 -2.2298 -1.6846
La -1.1130 -4.5450 1.5610
I 1.7043 -1.6359 1.5331
Y 0.0000 0.0000 0.0000
```

Results
- Mass density: 3.6 g/cm3
- E: -13.4 eV/cell
- Energy relative to the elements, uncorrected: 2.229 eV/f.u.

Computed, not measured: CdSnAs2 after structural relaxation at the PBE-GGA level of DFT.

The structure in extended XYZ format:
```
4
Lattice="-3.9778 0.9831 1.4197 1.3020 -0.6347 4.0874 1.6341 6.0147 0.4135" Properties=species:S:1:pos:R:3 pbc="T T T"
Cd 0.0000 0.0000 0.0000
As 1.0550 1.1695 2.1459
As -0.7587 5.0194 1.0212
Sn -0.5208 3.1815 2.9603
```

Results
- Calculated formation energy: -0.11 eV/atom
- E above lowest polymorph: 24 meV per atom
- Mass density: 5.4 g/cm3
- E: -14.7 eV/cell